VASP calculation (PBE-GGA) on a relaxed structure of TaTlIr2.

extended XYZ file:
```
4
Lattice="-2.0907 2.0907 3.8686 2.0907 -2.0907 3.8686 2.0907 2.0907 -3.8686" Properties=species:S:1:pos:R:3 pbc="T T T"
Ta 0.0000 0.0000 0.0000
Tl 0.0000 0.0000 3.8686
Ir 2.0907 0.0000 1.9343
Ir 0.0000 2.0907 1.9343
```

Computed properties:
* offset from the most stable computed form: 106 meV per atom
* DOS at the Fermi energy: 1.0 states/eV/f.u.
* electronic total energy: -8.02 eV per atom
* spin magnetization: 0.00 μB per formula unit
* formation energy from the elements: -0.72 kcal/mol of atoms
* space-group type: No. 139